This record from Alexandria via LeMat-Bulk describes an optimized crystal structure of BaTl2NiF6. The functional is GGA+U.

Cell lengths 6.090, 9.054, 7.011 Å; angles 90.00, 90.00, 90.00 degrees
Fractional positions:
Ba1 0.250 0.250 0.193
Ba2 0.750 0.750 0.807
Tl1 0.250 0.038 0.684
Tl2 0.250 0.462 0.684
Tl3 0.750 0.538 0.316
Tl4 0.750 0.962 0.316
Ni1 0.250 0.750 0.292
Ni2 0.750 0.250 0.708
F1 0.005 0.750 0.497
F2 0.008 0.750 0.095
F3 0.250 0.523 0.303
F4 0.250 0.977 0.303
F5 0.492 0.750 0.095
F6 0.495 0.750 0.497
F7 0.505 0.250 0.503
F8 0.508 0.250 0.905
F9 0.750 0.023 0.697
F10 0.750 0.477 0.697
F11 0.992 0.250 0.905
F12 0.995 0.250 0.503

Output
- E: -45.31 eV/f.u.
- Crystal system: orthorhombic
- DOS(E_F): 0.0 states/eV/cell
- Space group: Pmmn
- Total magnetic moment: 0.2065 μB/atom